The following is a DFT calculation (PBE-GGA) of a geometry-optimized Bi3SbMo structure.

Cell lengths 5.379, 5.379, 5.379 Å; angles 90.00, 90.00, 90.00 degrees
Space group Pm-3m (No. 221)
One atom of each set of equivalent atoms:
Bi1 0.000 0.000 0.500
Sb1 0.500 0.500 0.500
Mo1 0.000 0.000 0.000

Computed properties:
**Formation energy without anion corrections**: 602 meV per atom
**Fermi-level density of states**: 3.24 states/eV per cell
**Spin magnetization**: 0.00 μB/cell

The following is a DFT calculation (PBE-GGA) of a geometry-optimized ZrCd2Ga structure.

Cell lengths 3.0917, 3.0917, 32.5454 Å; angles 90.00, 90.00, 120.00 degrees
Space group R-3m (No. 166, hexagonal axes)
One atom of each set of equivalent atoms:
Zr1 0.0000 0.0000 0.0000
Cd1 0.0000 0.0000 0.0919
Ga1 0.0000 0.0000 0.5000

Computed properties:
**Fermi-level density of states**: 6.31 states/eV per cell
**E_form**: 230 meV per atom
**Spin magnetization**: 0.00 μB/cell

The following is a DFT calculation (PBE-GGA) of a geometry-optimized LuPtS2 structure.

Cell lengths 3.6545, 3.6545, 23.2209 Å; angles 90.00, 90.00, 120.00 degrees
Space group R-3m (No. 166, hexagonal axes)
One atom of each set of equivalent atoms:
Lu1 0.0000 0.0000 0.0000
Pt1 0.0000 0.0000 0.5000
S1 0.0000 0.0000 0.1136

Computed properties:
**Formation energy without anion corrections**: -393 meV per atom
**Fermi-level density of states**: 9.38 states/eV per cell
**Spin magnetization**: 0.00 μB/cell

The following is a DFT calculation (PBE-GGA) of a geometry-optimized Rb2IrPdCl6 structure.

Cell lengths 7.497, 7.497, 9.094 Å; angles 90.00, 90.00, 90.00 degrees
Space group I4/mmm (No. 139)
One atom of each set of equivalent atoms:
Rb1 0.000 0.500 0.250
Ir1 0.000 0.000 0.000
Pd1 0.000 0.000 0.500
Cl1 0.000 0.000 0.251
Cl2 0.227 0.227 0.000

Computed properties:
**Formation energy without anion corrections**: -919 meV per atom
**Fermi-level density of states**: 12.33 states/eV per cell
**Spin magnetization**: 1.98 μB/cell

The following is a DFT calculation (PBE-GGA) of a geometry-optimized Pu2ZnHg8 structure.

Cell lengths 4.794, 4.794, 12.111 Å; angles 90.00, 90.00, 90.00 degrees
Space group P4/mmm (No. 123)
One atom of each set of equivalent atoms:
Pu1 0.000 0.000 0.192
Zn1 0.000 0.000 0.500
Hg1 0.000 0.500 0.000
Hg2 0.000 0.500 0.371
Hg3 0.500 0.500 0.188

Computed properties:
**Fermi-level density of states**: 31.24 states/eV per cell
**E_form**: -78 meV per atom
**Spin magnetization**: 12.55 μB/cell

The following is a DFT calculation (PBE-GGA) of a geometry-optimized SrPtSe2 structure.

Cell lengths 3.972, 7.943, 7.285 Å; angles 90.00, 90.00, 90.00 degrees
Space group Cmmm (No. 65)
One atom of each set of equivalent atoms:
Sr1 0.000 0.000 0.000
Pt1 0.000 0.000 0.500
Se1 0.000 0.500 0.292

Computed properties:
**Formation energy without anion corrections**: -718 meV per atom
**Fermi-level density of states**: 1.17 states/eV per cell
**Spin magnetization**: 0.00 μB/cell

The following is a DFT calculation (PBE-GGA) of a geometry-optimized Ac3Cd2In structure.

Cell lengths 4.074, 4.074, 12.324 Å; angles 90.00, 90.00, 90.00 degrees
Space group P4/mmm (No. 123)
One atom of each set of equivalent atoms:
Ac1 0.000 0.000 0.000
Ac2 0.000 0.000 0.333
Cd1 0.500 0.500 0.164
In1 0.500 0.500 0.500

Computed properties:
**Fermi-level density of states**: 7.66 states/eV per cell
**E_form**: -333 meV per atom
**Spin magnetization**: 0.03 μB/cell

The following is a DFT calculation (PBE-GGA) of a geometry-optimized CsTiPCl2 structure.

Cell lengths 5.196, 5.196, 4.782 Å; angles 90.00, 90.00, 90.00 degrees
Space group P4/mmm (No. 123)
One atom of each set of equivalent atoms:
Cs1 0.000 0.000 0.000
Ti1 0.500 0.500 0.500
P1 0.500 0.500 0.000
Cl1 0.000 0.500 0.500

Computed properties:
**Formation energy without anion corrections**: -1073 meV per atom
**Fermi-level density of states**: 1.72 states/eV per cell
**Spin magnetization**: 0.10 μB/cell

The following is a DFT calculation (PBE-GGA) of a geometry-optimized Th4Ni2Ir structure.

Cell lengths 7.528, 7.539, 7.699 Å; angles 108.93, 110.06, 108.25 degrees
Space group P1 (No. 1)
One atom of each set of equivalent atoms:
Th1 0.000 0.000 0.000
Th2 0.004 0.497 0.988
Th3 0.100 0.210 0.596
Th4 0.394 0.622 0.505
Th5 0.502 0.112 0.896
Th6 0.509 0.118 0.400
Th7 0.603 0.713 0.091
Th8 0.886 0.608 0.494
Ni1 0.245 0.747 0.877
Ni2 0.612 0.471 0.746
Ni3 0.754 0.972 0.616
Ni4 0.889 0.250 0.247
Ir1 0.122 0.853 0.363
Ir2 0.376 0.365 0.130

Computed properties:
**Fermi-level density of states**: 14.08 states/eV per cell
**E_form**: -485 meV per atom
**Spin magnetization**: 0.00 μB/cell

The following is a DFT calculation (PBE-GGA) of a geometry-optimized ThGa2Pd structure.

Cell lengths 4.9669, 4.9669, 11.4343 Å; angles 90.00, 90.00, 120.00 degrees
Space group R-3m (No. 166, hexagonal axes)
One atom of each set of equivalent atoms:
Th1 0.0000 0.0000 0.0000
Ga1 0.0000 0.0000 0.2601
Pd1 0.0000 0.0000 0.5000

Computed properties:
**Fermi-level density of states**: 7.23 states/eV per cell
**E_form**: -469 meV per atom
**Spin magnetization**: 0.00 μB/cell

The following is a DFT calculation (PBE-GGA) of a geometry-optimized Ho6Pd2Pt structure.

Cell lengths 9.500, 9.567, 9.810 Å; angles 90.00, 90.00, 90.00 degrees
Space group Immm (No. 71)
One atom of each set of equivalent atoms:
Ho1 0.000 0.185 0.247
Ho2 0.205 0.500 0.332
Ho3 0.233 0.326 0.000
Pd1 0.000 0.342 0.500
Pd2 0.000 0.500 0.134
Pt1 0.000 0.000 0.000
Pt2 0.000 0.000 0.500

Computed properties:
**Fermi-level density of states**: 33.25 states/eV per cell
**E_form**: -691 meV per atom
**Spin magnetization**: 0.00 μB/cell

The following is a DFT calculation (PBE-GGA) of a geometry-optimized CeNi4Rh structure.

Cell lengths 7.258, 3.844, 6.328 Å; angles 90.00, 90.00, 90.00 degrees
Space group Pmma (No. 51)
One atom of each set of equivalent atoms:
Ce1 0.250 0.000 0.144
Ni1 0.000 0.000 0.500
Ni2 0.024 0.500 0.769
Ni3 0.250 0.500 0.473
Rh1 0.250 0.000 0.767

Computed properties:
**Fermi-level density of states**: 16.43 states/eV per cell
**E_form**: -156 meV per atom
**Spin magnetization**: 0.00 μB/cell

The following is a DFT calculation (PBE-GGA) of a geometry-optimized ZrTcRh2 structure.

Cell lengths 2.866, 4.519, 4.891 Å; angles 90.00, 90.00, 90.00 degrees
Space group Pmm2 (No. 25)
One atom of each set of equivalent atoms:
Zr1 0.000 0.000 0.000
Tc1 0.000 0.500 0.373
Rh1 0.500 0.000 0.498
Rh2 0.500 0.500 0.857

Computed properties:
**Fermi-level density of states**: 4.23 states/eV per cell
**E_form**: -344 meV per atom
**Spin magnetization**: 0.00 μB/cell

The following is a DFT calculation (PBE-GGA) of a geometry-optimized Tb3Ga9Fe2 structure.

Cell lengths 4.220, 9.462, 12.422 Å; angles 90.00, 90.00, 90.00 degrees
Space group Immm (No. 71)
One atom of each set of equivalent atoms:
Tb1 0.000 0.000 0.000
Tb2 0.000 0.000 0.305
Ga1 0.000 0.284 0.130
Ga2 0.000 0.363 0.347
Ga3 0.000 0.500 0.000
Fe1 0.000 0.183 0.500

Computed properties:
**Fermi-level density of states**: 12.89 states/eV per cell
**E_form**: -468 meV per atom
**Spin magnetization**: 5.85 μB/cell

The following is a DFT calculation (PBE-GGA) of a geometry-optimized ZnCoCu2H structure.

Cell lengths 3.740, 3.740, 3.579 Å; angles 90.00, 90.00, 90.00 degrees
Space group P4/mmm (No. 123)
One atom of each set of equivalent atoms:
Zn1 0.000 0.000 0.000
Co1 0.500 0.500 0.000
Cu1 0.000 0.500 0.500
H1 0.500 0.500 0.500

Computed properties:
**VASP energy**: -3.98 eV/atom
**Fermi-level density of states**: 1.14 states/eV per cell
**Spin magnetization**: 0.00 μB/cell

The following is a DFT calculation (PBE-GGA) of a geometry-optimized MgAg2Os structure.

Cell lengths 2.954, 4.707, 9.639 Å; angles 90.00, 90.00, 90.00 degrees
Space group Cmmm (No. 65)
One atom of each set of equivalent atoms:
Mg1 0.000 0.000 0.000
Ag1 0.000 0.500 0.247
Os1 0.000 0.000 0.500

Computed properties:
**Fermi-level density of states**: 4.69 states/eV per cell
**E_form**: 423 meV per atom
**Spin magnetization**: 0.00 μB/cell

The following is a DFT calculation (PBE-GGA) of a geometry-optimized ZrTaMo3 structure.

Cell lengths 4.770, 4.770, 4.770 Å; angles 90.00, 90.00, 90.00 degrees
Space group Pm-3m (No. 221)
One atom of each set of equivalent atoms:
Zr1 0.000 0.000 0.000
Ta1 0.500 0.500 0.500
Mo1 0.000 0.500 0.500

Computed properties:
**Fermi-level density of states**: 7.73 states/eV per cell
**E_form**: 1444 meV per atom
**Spin magnetization**: 1.56 μB/cell

The following is a DFT calculation (PBE-GGA) of a geometry-optimized Na2TbHoO4 structure.

Cell lengths 5.925, 3.430, 5.940 Å; angles 90.00, 109.52, 90.00 degrees
Space group P2/m (No. 10)
One atom of each set of equivalent atoms:
Na1 0.000 0.000 0.000
Na2 0.000 0.500 0.500
Tb1 0.500 0.000 0.500
Ho1 0.500 0.500 0.000
O1 0.289 0.000 0.766
O2 0.289 0.500 0.260

Computed properties:
**Formation energy without anion corrections**: -2799 meV per atom
**Fermi-level density of states**: 0.00 states/eV per cell
**Spin magnetization**: 0.00 μB/cell

The following is a DFT calculation (PBE-GGA) of a geometry-optimized Rb8HgAu2S structure.

Cell lengths 8.176, 10.149, 8.376 Å; angles 90.00, 90.78, 90.00 degrees
Space group P2/m (No. 10)
One atom of each set of equivalent atoms:
Rb1 0.226 0.000 0.361
Rb2 0.258 0.500 0.306
Rb3 0.265 0.279 0.837
Hg1 0.500 0.000 0.000
Au1 0.000 0.272 0.500
S1 0.500 0.500 0.000

Computed properties:
**Formation energy without anion corrections**: -333 meV per atom
**Fermi-level density of states**: 7.17 states/eV per cell
**Spin magnetization**: 0.00 μB/cell

The following is a DFT calculation (PBE-GGA) of a geometry-optimized Ca2AgBr structure.

Cell lengths 7.669, 7.669, 7.669 Å; angles 90.00, 90.00, 90.00 degrees
Space group Fm-3m (No. 225)
One atom of each set of equivalent atoms:
Ca1 0.250 0.250 0.250
Ag1 0.000 0.000 0.000
Br1 0.000 0.000 0.500

Computed properties:
**Formation energy without anion corrections**: -580 meV per atom
**Fermi-level density of states**: 22.32 states/eV per cell
**Spin magnetization**: 0.00 μB/cell

The following is a DFT calculation (PBE-GGA) of a geometry-optimized Pm3MnSb structure.

Cell lengths 5.186, 5.186, 5.186 Å; angles 90.00, 90.00, 90.00 degrees
Space group Pm-3m (No. 221)
One atom of each set of equivalent atoms:
Pm1 0.000 0.000 0.500
Mn1 0.000 0.000 0.000
Sb1 0.500 0.500 0.500

Computed properties:
**Formation energy without anion corrections**: -144 meV per atom
**Fermi-level density of states**: 4.84 states/eV per cell
**Spin magnetization**: 0.76 μB/cell

The following is a DFT calculation (PBE-GGA) of a geometry-optimized Ba3MoPb structure.

Cell lengths 5.898, 5.898, 5.898 Å; angles 90.00, 90.00, 90.00 degrees
Space group Pm-3m (No. 221)
One atom of each set of equivalent atoms:
Ba1 0.000 0.000 0.500
Mo1 0.000 0.000 0.000
Pb1 0.500 0.500 0.500

Computed properties:
**Fermi-level density of states**: 7.43 states/eV per cell
**E_form**: 557 meV per atom
**Spin magnetization**: 0.00 μB/cell

The following is a DFT calculation (PBE-GGA) of a geometry-optimized TlSb2Pb structure.

Cell lengths 6.013, 3.342, 6.337 Å; angles 90.00, 111.16, 90.00 degrees
Space group P2/m (No. 10)
One atom of each set of equivalent atoms:
Tl1 0.000 0.000 0.000
Sb1 0.000 0.500 0.500
Sb2 0.500 0.000 0.500
Pb1 0.500 0.500 0.000

Computed properties:
**Formation energy without anion corrections**: 113 meV per atom
**Fermi-level density of states**: 1.60 states/eV per cell
**Spin magnetization**: 0.00 μB/cell

The following is a DFT calculation (PBE-GGA) of a geometry-optimized ZrTlMo2 structure.

Cell lengths 3.333, 4.989, 9.384 Å; angles 90.00, 90.00, 90.00 degrees
Space group Cmm2 (No. 35)
One atom of each set of equivalent atoms:
Zr1 0.000 0.000 0.000
Tl1 0.000 0.500 0.286
Mo1 0.000 0.000 0.550
Mo2 0.000 0.500 0.758

Computed properties:
**Fermi-level density of states**: 7.46 states/eV per cell
**E_form**: 254 meV per atom
**Spin magnetization**: 0.00 μB/cell

The following is a DFT calculation (PBE-GGA) of a geometry-optimized NbV2Fe structure.

Cell lengths 2.679, 4.519, 9.679 Å; angles 90.00, 90.00, 90.00 degrees
Space group Immm (No. 71)
One atom of each set of equivalent atoms:
Nb1 0.000 0.000 0.000
V1 0.000 0.000 0.279
Fe1 0.000 0.000 0.500

Computed properties:
**Fermi-level density of states**: 10.80 states/eV per cell
**E_form**: 405 meV per atom
**Spin magnetization**: 0.00 μB/cell

The following is a DFT calculation (PBE-GGA) of a geometry-optimized Tm4ZnPt2 structure.

Cell lengths 4.8358, 4.8358, 23.9858 Å; angles 90.00, 90.00, 120.00 degrees
Space group R-3m (No. 166, hexagonal axes)
One atom of each set of equivalent atoms:
Tm1 0.0000 0.0000 0.1219
Tm2 0.0000 0.0000 0.3731
Zn1 0.0000 0.0000 0.5000
Pt1 0.0000 0.0000 0.2516

Computed properties:
**Fermi-level density of states**: 10.92 states/eV per cell
**E_form**: -887 meV per atom
**Spin magnetization**: 0.00 μB/cell